VASP calculation (PBE+U) on a relaxed K2Pm2VO6 crystal.

extended XYZ file:
```
11
Lattice="2.965 -5.082 0.000 2.965 5.082 0.000 -1.647 0.000 6.369" Properties=species:S:1:pos:R:3 pbc="T T T"
K 2.965 3.471 0.000
K 2.965 -3.471 0.000
Pm 2.141 1.693 3.185
Pm 2.141 -1.693 3.185
V -0.824 0.000 3.185
O 0.060 1.552 4.283
O 0.776 0.000 2.117
O 0.060 -1.552 4.283
O 4.223 1.552 2.087
O 3.507 0.000 4.253
O 4.223 -1.552 2.087
```

Summary:
DFT total energy = -75.81 eV for the cell shown